[1]
Zr3Ag | PBE | relaxed

## Properties
ΔH_f (0 K) ... 0.078 eV/atom

Geometry as POSCAR:
```
Zr3Ag
1.0
-5.716 0.692 -0.557
1.804 -4.591 3.022
3.201 4.805 0.367
Ag Zr
1 3
direct
0.000 0.000 0.000 Ag
0.000 0.500 0.500 Zr
0.500 0.000 0.500 Zr
0.500 0.500 0.000 Zr
```

[2]
SrIn2Si | PBE | relaxed

## Properties
E_form (uncorrected) ... 0.05 eV per atom

Geometry as POSCAR:
```
SrIn2Si
1.0
5.452 0.010 0.033
-2.701 5.990 0.005
0.051 1.004 3.343
In Si Sr
2 1 1
direct
0.000 0.000 0.000 In
0.500 0.000 0.500 In
0.000 0.500 0.500 Si
0.500 0.500 0.000 Sr
```

[3]
TaTl2Si | PBE | relaxed

## Properties
ΔE to the lowest computed polymorph ... 89 meV per atom
E_form (uncorrected) ... 0.37 eV per atom

Geometry as POSCAR:
```
TaTl2Si
1.0
-0.371 -2.972 -0.697
2.354 0.168 -1.970
6.002 -2.383 6.968
Si Ta Tl
1 1 2
direct
0.000 0.000 0.540 Si
0.500 0.500 0.715 Ta
0.000 0.000 0.964 Tl
0.500 0.500 0.281 Tl
```

[4]
BiRh2O5 | PBE | relaxed

## Properties
E_form (uncorrected) ... -0.83 eV per atom

Geometry as POSCAR:
```
BiRh2O5
1.0
4.020 0.000 0.000
-2.010 5.124 0.000
0.000 0.000 9.844
Bi Rh O
2 4 10
direct
0.429 0.858 0.750 Bi
0.571 0.142 0.250 Bi
0.856 0.712 0.444 Rh
0.856 0.712 0.056 Rh
0.144 0.288 0.556 Rh
0.144 0.288 0.944 Rh
0.952 0.904 0.880 O
0.952 0.904 0.620 O
0.333 0.666 0.483 O
0.333 0.666 0.017 O
0.778 0.557 0.250 O
0.222 0.443 0.750 O
0.667 0.334 0.517 O
0.667 0.334 0.983 O
0.048 0.096 0.120 O
0.048 0.096 0.380 O
```

[5]
Sc4CuRh | PBE | relaxed

## Properties
ΔE to the lowest computed polymorph ... 0 meV per atom
ΔH_f (0 K) ... -0.455 eV/atom

Geometry as POSCAR:
```
Sc4CuRh
1.0
7.566 0.000 4.368
2.522 7.133 4.368
0.000 0.000 8.736
Sc Cu Rh
16 4 4
direct
0.379 0.379 0.379 Sc
0.863 0.379 0.379 Sc
0.379 0.863 0.379 Sc
0.379 0.379 0.863 Sc
0.565 0.565 0.935 Sc
0.935 0.935 0.565 Sc
0.565 0.935 0.565 Sc
0.935 0.565 0.935 Sc
0.935 0.565 0.565 Sc
0.565 0.935 0.935 Sc
0.186 0.186 0.814 Sc
0.814 0.814 0.186 Sc
0.186 0.814 0.186 Sc
0.814 0.186 0.814 Sc
0.814 0.186 0.186 Sc
0.186 0.814 0.814 Sc
0.167 0.167 0.167 Cu
0.500 0.167 0.167 Cu
0.167 0.500 0.167 Cu
0.167 0.167 0.500 Cu
0.594 0.594 0.594 Rh
0.219 0.594 0.594 Rh
0.594 0.219 0.594 Rh
0.594 0.594 0.219 Rh
```

[6]
BePt2Se | PBE | relaxed

## Properties
ΔE to the lowest computed polymorph ... 201 meV per atom
E_form (uncorrected) ... -0.04 eV per atom

Geometry as POSCAR:
```
BePt2Se
1.0
-4.612 -0.881 0.019
0.874 -4.587 -0.491
-1.714 -3.403 6.294
Be Se Pt
2 2 4
direct
0.500 0.500 0.000 Be
0.250 0.750 0.500 Be
0.000 0.000 0.000 Se
0.750 0.250 0.500 Se
0.571 0.125 0.250 Pt
0.179 0.625 0.250 Pt
0.375 0.429 0.750 Pt
0.875 0.821 0.750 Pt
```

[7]
V2H3Se6 | PBE | relaxed

## Properties
VASP energy ... -4.78 eV per atom

Geometry as POSCAR:
```
V2H3Se6
1.0
5.891 -0.052 1.901
2.483 5.231 2.545
-0.245 1.638 14.383
V H Se
4 6 12
direct
0.299 0.895 0.994 V
0.861 0.362 0.500 V
0.701 0.105 0.006 V
0.139 0.638 0.500 V
0.000 0.789 0.705 H
0.464 0.266 0.707 H
0.566 0.705 0.797 H
0.434 0.295 0.203 H
0.000 0.211 0.295 H
0.536 0.734 0.293 H
0.029 0.971 0.881 Se
0.379 0.277 0.885 Se
0.671 0.608 0.898 Se
0.178 0.471 0.379 Se
0.846 0.124 0.394 Se
0.506 0.778 0.391 Se
0.971 0.029 0.119 Se
0.621 0.723 0.115 Se
0.329 0.392 0.102 Se
0.822 0.529 0.621 Se
0.154 0.876 0.606 Se
0.494 0.222 0.609 Se
```

[8]
K2NaO | PBE | relaxed

## Properties
E_form (uncorrected) ... -0.67 eV per atom

Geometry as POSCAR:
```
K2NaO
1.0
-1.870 3.480 0.650
-0.794 1.177 3.744
8.735 6.642 1.906
Na K O
1 2 1
direct
0.000 0.000 0.000 Na
0.128 0.128 0.616 K
0.872 0.872 0.384 K
0.500 0.500 0.500 O
```

[9]
CsZn2Te | PBE | relaxed

## Properties
E_form (uncorrected) ... -0.03 eV per atom

Geometry as POSCAR:
```
CsZn2Te
1.0
8.990 0.000 0.000
0.000 8.990 0.000
4.495 4.495 3.797
Cs Zn Te
2 4 2
direct
0.000 0.000 0.000 Cs
0.750 0.250 0.500 Cs
0.544 0.125 0.250 Zn
0.206 0.625 0.250 Zn
0.375 0.456 0.750 Zn
0.875 0.794 0.750 Zn
0.500 0.500 0.000 Te
0.250 0.750 0.500 Te
```

[10]
InSbP2 | PBE | relaxed

## Properties
ΔE to the lowest computed polymorph ... 178 meV per atom
E_form (uncorrected) ... 0.22 eV per atom

Geometry as POSCAR:
```
InSbP2
1.0
-1.280 -2.544 -3.934
4.589 1.463 -0.626
2.937 -3.827 -0.572
In P Sb
1 2 1
direct
0.000 0.500 0.500 In
0.000 0.000 0.000 P
0.500 0.500 0.000 P
0.500 0.000 0.500 Sb
```

[11]
AgHg3Ge | PBE | relaxed

## Properties
ΔE to the lowest computed polymorph ... 0 meV per atom
ΔH_f (0 K) ... 0.420 eV/atom

Geometry as POSCAR:
```
AgHg3Ge
1.0
5.327 0.000 0.000
0.000 5.327 0.000
0.000 0.000 5.327
Ge Hg Ag
1 3 1
direct
0.000 0.000 0.000 Ge
0.000 0.500 0.000 Hg
0.000 0.000 0.500 Hg
0.500 0.000 0.000 Hg
0.500 0.500 0.500 Ag
```

[12]
KBeOs2 | PBE | relaxed

## Properties
ΔH_f (0 K) ... 0.593 eV/atom

Geometry as POSCAR:
```
KBeOs2
1.0
-2.450 1.092 -0.622
0.760 -0.376 -3.653
-3.040 -6.784 0.067
Be K Os
1 1 2
direct
0.000 0.000 0.401 Be
0.500 0.500 0.740 K
0.000 0.000 0.104 Os
0.500 0.500 0.254 Os
```

[13]
CsZr3Zn | PBE | relaxed

## Properties
ΔE to the lowest computed polymorph ... 0 meV per atom
ΔH_f (0 K) ... 1.006 eV/atom

Geometry as POSCAR:
```
CsZr3Zn
1.0
5.237 0.000 0.000
0.000 5.237 0.000
0.000 0.000 5.237
Cs Zn Zr
1 1 3
direct
0.500 0.500 0.500 Cs
0.000 0.000 0.000 Zn
0.000 0.500 0.000 Zr
0.000 0.000 0.500 Zr
0.500 0.000 0.000 Zr
```

[14]
Ho2TmAlO | PBE | relaxed

## Properties
E_form (uncorrected) ... -1.36 eV per atom

Geometry as POSCAR:
```
Ho2TmAlO
1.0
-0.796 -4.421 1.110
4.536 -0.530 1.143
-0.965 1.285 4.425
Ho Tm Al O
2 1 1 1
direct
0.000 0.000 0.500 Ho
0.000 0.500 0.000 Ho
0.500 0.000 0.000 Tm
0.500 0.500 0.500 Al
0.000 0.000 0.000 O
```

[15]
Os4PtAu | PBE | relaxed

## Properties
ΔH_f (0 K) ... 0.929 eV/atom

Geometry as POSCAR:
```
Os4PtAu
1.0
0.000 3.654 3.654
3.654 0.000 3.654
3.654 3.654 0.000
Os Pt Au
4 1 1
direct
0.873 0.376 0.376 Os
0.376 0.376 0.873 Os
0.376 0.873 0.376 Os
0.376 0.376 0.376 Os
0.750 0.750 0.750 Pt
0.000 0.000 0.000 Au
```

[16]
NiMo3As | PBE | relaxed

## Properties
ΔE to the lowest computed polymorph ... 0 meV per atom
ΔH_f (0 K) ... 1.320 eV/atom

Geometry as POSCAR:
```
NiMo3As
1.0
-0.945 -3.216 -2.998
0.631 -3.134 3.163
-4.351 0.245 1.110
Ni Mo As
1 3 1
direct
0.000 0.000 0.000 Ni
0.000 0.500 0.000 Mo
0.000 0.000 0.500 Mo
0.500 0.000 0.000 Mo
0.500 0.500 0.500 As
```

[17]
BaGeTeI2 | PBE | relaxed

## Properties
ΔE to the lowest computed polymorph ... 771 meV per atom
E_form (uncorrected) ... -0.02 eV per atom

Geometry as POSCAR:
```
BaGeTeI2
1.0
-5.103 -3.621 1.733
3.537 -5.381 -0.829
1.993 0.307 6.507
I Ge Te Ba
2 1 1 1
direct
0.000 0.500 0.000 I
0.500 0.000 0.000 I
0.500 0.500 0.500 Ge
0.000 0.000 0.500 Te
0.000 0.000 0.000 Ba
```

[18]
Tb4Er5In2 | PBE | relaxed

## Properties
ΔH_f (0 K) ... 0.038 eV/atom

Geometry as POSCAR:
```
Tb4Er5In2
1.0
3.447 0.000 0.000
0.000 7.998 0.684
-1.723 -1.219 12.169
Tb Er In
4 5 2
direct
0.911 0.738 0.821 Tb
0.044 0.661 0.089 Tb
0.089 0.262 0.179 Tb
0.956 0.339 0.911 Tb
0.165 0.903 0.329 Er
0.835 0.097 0.671 Er
0.225 0.303 0.450 Er
0.500 0.000 0.000 Er
0.775 0.697 0.550 Er
0.346 0.435 0.692 In
0.654 0.565 0.308 In
```

[19]
PrMgReO6 | PBE | relaxed

## Properties
E_form (uncorrected) ... -2.36 eV per atom

Geometry as POSCAR:
```
PrMgReO6
1.0
-3.734 0.665 3.633
1.237 -0.184 5.101
0.865 5.020 -0.029
Pr Mg Re O
1 1 1 6
direct
0.000 0.000 0.000 Pr
0.667 0.667 0.500 Mg
0.333 0.333 0.500 Re
0.026 0.354 0.288 O
0.354 0.026 0.712 O
0.621 0.354 0.712 O
0.026 0.621 0.712 O
0.354 0.621 0.288 O
0.621 0.026 0.288 O
```

[20]
Pa3Ni2Sb3 | PBE | relaxed

## Properties
E_form (uncorrected) ... -0.44 eV per atom

Geometry as POSCAR:
```
Pa3Ni2Sb3
1.0
-3.990 1.143 -0.395
0.614 -3.932 4.420
2.299 11.428 9.847
Pa Ni Sb
6 4 6
direct
0.939 0.877 0.394 Pa
0.061 0.123 0.894 Pa
0.939 0.877 0.106 Pa
0.061 0.123 0.606 Pa
0.661 0.322 0.250 Pa
0.339 0.678 0.750 Pa
0.761 0.522 0.885 Ni
0.239 0.478 0.385 Ni
0.761 0.522 0.615 Ni
0.239 0.478 0.115 Ni
0.640 0.281 0.455 Sb
0.360 0.719 0.955 Sb
0.640 0.281 0.045 Sb
0.360 0.719 0.545 Sb
0.382 0.763 0.250 Sb
0.618 0.237 0.750 Sb
```

[21]
LiCaNi4 | PBE | relaxed

## Properties
ΔH_f (0 K) ... -0.137 eV/atom

Geometry as POSCAR:
```
LiCaNi4
1.0
-3.472 -0.388 3.452
-2.326 -4.273 0.674
0.849 -2.646 4.050
Ca Li Ni
1 1 4
direct
0.250 0.250 0.250 Ca
0.000 0.000 0.000 Li
0.123 0.626 0.626 Ni
0.626 0.626 0.626 Ni
0.626 0.123 0.626 Ni
0.626 0.626 0.123 Ni
```

[22]
LiZnAs2 | PBE | relaxed

## Properties
ΔH_f (0 K) ... -0.114 eV/atom

Geometry as POSCAR:
```
LiZnAs2
1.0
7.568 0.000 0.000
0.000 7.568 0.000
3.784 3.784 2.663
As Zn Li
4 2 2
direct
0.677 0.125 0.250 As
0.073 0.625 0.250 As
0.375 0.323 0.750 As
0.875 0.927 0.750 As
0.000 0.000 0.000 Zn
0.750 0.250 0.500 Zn
0.500 0.500 0.000 Li
0.250 0.750 0.500 Li
```

[23]
MgInGa6 | PBE | relaxed

## Properties
ΔE to the lowest computed polymorph ... 0 meV per atom
ΔH_f (0 K) ... -0.012 eV/atom

Geometry as POSCAR:
```
MgInGa6
1.0
-2.364 -0.408 3.502
3.494 -0.837 2.261
0.982 8.589 1.663
Mg In Ga
1 1 6
direct
0.000 0.000 0.500 Mg
0.000 0.000 0.000 In
0.500 0.500 0.000 Ga
0.500 0.500 0.500 Ga
0.500 0.000 0.263 Ga
0.500 0.000 0.737 Ga
0.000 0.500 0.263 Ga
0.000 0.500 0.737 Ga
```

[24]
HfIn6Pd12 | PBE | relaxed

## Properties
ΔH_f (0 K) ... -0.426 eV/atom

Geometry as POSCAR:
```
HfIn6Pd12
1.0
7.414 -0.549 -0.657
-1.666 7.245 -0.657
-1.666 -1.941 7.011
Hf In Pd
1 6 12
direct
0.000 0.000 0.000 Hf
0.788 0.908 0.519 In
0.481 0.212 0.092 In
0.092 0.481 0.212 In
0.212 0.092 0.481 In
0.519 0.788 0.908 In
0.908 0.519 0.788 In
0.819 0.522 0.405 Pd
0.405 0.819 0.522 Pd
0.522 0.405 0.819 Pd
0.181 0.478 0.595 Pd
0.595 0.181 0.478 Pd
0.478 0.595 0.181 Pd
0.864 0.732 0.150 Pd
0.268 0.850 0.136 Pd
0.850 0.136 0.268 Pd
0.136 0.268 0.850 Pd
0.732 0.150 0.864 Pd
0.150 0.864 0.732 Pd
```

Let's list calculated volume in order: 85.86, 109.13, 89.81, 202.81, 471.44, 144.76, 430.73, 151.25, 306.89, 88.12, 151.20, 76.78, 143.61, 102.56, 97.55, 90.95, 287.17, 338.32, 121.68, 354.42, 83.77, 152.48, 158.62, 350.04 Å³/cell.